1.
SrBSe2: relaxed, PBE.

abc: 4.8920 4.8920 19.7090
angles: 90.00 90.00 120.00
Space group R-3m (No. 166, hexagonal axes)
Inequivalent atoms, fractional coordinates:
Sr: 0.0000 0.0000 0.0000 (multiplicity 3)
B: 0.0000 0.0000 0.5000 (multiplicity 3)
Se: 0.0000 0.0000 0.4050 (multiplicity 6)

Properties
The calculation puts the total moment at 1.00 μB per formula unit. Its raw formation energy is -433 meV per atom. For the calculated total energy, the calculation gives -51.18 eV/cell.

2.
SrB2WSe: relaxed, PBE.

abc: 4.411 4.411 5.453
angles: 90.00 90.00 90.00
Space group P4/mmm (No. 123)
Inequivalent atoms, fractional coordinates:
Sr: 0.000 0.000 0.000 (multiplicity 1)
B: 0.000 0.500 0.500 (multiplicity 2)
W: 0.500 0.500 0.000 (multiplicity 1)
Se: 0.000 0.000 0.500 (multiplicity 1)

Properties
The calculation puts the total moment at 3.75 μB per formula unit. Its raw formation energy is 2213 meV per atom. For the calculated total energy, the calculation gives -20.41 eV/cell.

3.
Ta3BSe: relaxed, PBE.

abc: 4.385 4.385 4.385
angles: 90.00 90.00 90.00
Space group Pm-3m (No. 221)
Inequivalent atoms, fractional coordinates:
Ta: 0.000 0.000 0.500 (multiplicity 3)
B: 0.000 0.000 0.000 (multiplicity 1)
Se: 0.500 0.500 0.500 (multiplicity 1)

Properties
The calculation puts the total moment at 0.00 μB per formula unit. The value obtained for the energy above the most stable polymorph in this dataset is 0.0 meV per atom. Its raw formation energy is 365 meV per atom. For the calculated total energy, the calculation gives -43.90 eV/cell.

4.
TaBSe3: relaxed, PBE.

abc: 4.395 4.395 4.395
angles: 90.00 90.00 90.00
Space group Pm-3m (No. 221)
Inequivalent atoms, fractional coordinates:
Ta: 0.000 0.000 0.000 (multiplicity 1)
B: 0.500 0.500 0.500 (multiplicity 1)
Se: 0.000 0.500 0.500 (multiplicity 3)

Properties
The calculation puts the total moment at 0.00 μB per formula unit. The value obtained for the energy above the most stable polymorph in this dataset is 11.5 meV per atom. Its raw formation energy is 765 meV per atom. For the calculated total energy, the calculation gives -25.16 eV/cell.

5.
TaBSe3: relaxed, PBE.

abc: 5.032 5.032 5.032
angles: 90.00 90.00 90.00
Space group Pm-3m (No. 221)
Inequivalent atoms, fractional coordinates:
Ta: 0.000 0.000 0.000 (multiplicity 1)
B: 0.500 0.500 0.500 (multiplicity 1)
Se: 0.000 0.000 0.500 (multiplicity 3)

Properties
The calculation puts the total moment at 0.00 μB per formula unit. The value obtained for the energy above the most stable polymorph in this dataset is 0.0 meV per atom. Its raw formation energy is 753 meV per atom. For the calculated total energy, the calculation gives -25.22 eV/cell.

6.
TbBSe: relaxed, PBE.

abc: 5.718 5.672 7.324
angles: 90.00 101.73 90.00
Space group C2/m (No. 12)
Inequivalent atoms, fractional coordinates:
Tb: 0.197 0.000 0.223 (multiplicity 4)
B: 0.000 0.360 0.000 (multiplicity 4)
Se: 0.222 0.500 0.340 (multiplicity 4)

Properties
The calculation puts the total moment at 0.00 μB per formula unit. Its raw formation energy is -704 meV per atom. For the calculated total energy, the calculation gives -67.61 eV/cell.

7.
Tb3BSe6: relaxed, PBE.

abc: 11.135 13.711 6.600
angles: 90.00 90.00 90.00
Space group Cmc2_1 (No. 36)
Inequivalent atoms, fractional coordinates:
Tb: 0.000 0.098 0.000 (multiplicity 4)
Tb: 0.182 0.400 0.889 (multiplicity 8)
B: 0.000 0.303 0.343 (multiplicity 4)
Se: 0.000 0.290 0.659 (multiplicity 4)
Se: 0.000 0.447 0.224 (multiplicity 4)
Se: 0.152 0.242 0.203 (multiplicity 8)
Se: 0.163 0.035 0.695 (multiplicity 8)

Properties
The calculation puts the total moment at 0.00 μB per formula unit. Its raw formation energy is -1392 meV per atom. For the calculated total energy, the calculation gives -221.60 eV/cell.

8.
TbBSe3: relaxed, PBE.

abc: 6.630 7.517 11.039
angles: 90.00 124.27 90.00
Space group P2_1/c (No. 14)
Inequivalent atoms, fractional coordinates:
Tb: 0.206 0.128 0.248 (multiplicity 4)
B: 0.199 0.650 0.094 (multiplicity 4)
Se: 0.067 0.195 0.933 (multiplicity 4)
Se: 0.276 0.688 0.948 (multiplicity 4)
Se: 0.393 0.009 0.761 (multiplicity 4)

Properties
The calculation puts the total moment at 0.00 μB per formula unit. Its raw formation energy is -940 meV per atom. For the calculated total energy, the calculation gives -105.84 eV/cell.